<1>
A plane-wave DFT calculation with PBEsol was carried out for a relaxed CuTcAg2 crystal.

POSCAR file:
```
CuTcAg2
1.0
-0.391 3.780 -0.912
-1.527 -0.993 -3.458
-2.608 -1.384 3.757
Cu Ag Tc
1 2 1
direct
0.500 0.500 0.000 Cu
0.750 0.250 0.500 Ag
0.250 0.750 0.500 Ag
0.000 0.000 0.000 Tc
```

Calculated values
SG: No. 139
Spin magnetization in μB per cell: 1.88
N(E_F) in states/eV/f.u.: 2.862
Mass density in g/cm³: 10.52

---

<2>
A plane-wave DFT calculation with PBEsol was carried out for a relaxed CuTcAg2 crystal.

POSCAR file:
```
CuTcAg2
1.0
2.616 0.000 0.000
0.000 4.865 0.044
-1.308 -0.758 4.600
Cu Ag Tc
1 2 1
direct
0.000 0.500 0.000 Cu
0.253 0.253 0.505 Ag
0.747 0.747 0.495 Ag
0.500 0.000 0.000 Tc
```

Calculated values
SG: No. 12
Spin magnetization in μB per cell: 0.68
N(E_F) in states/eV/f.u.: 3.266
Mass density in g/cm³: 10.68

---

Energy comparison, zero being the most stable, in meV per atom: <1> 171; <2> 0.

---

<1>
A plane-wave DFT calculation with PBEsol was carried out for a relaxed Cu2TcAg crystal.

POSCAR file:
```
Cu2TcAg
1.0
2.557 0.000 0.000
-1.278 4.308 0.003
0.000 -0.641 4.906
Ag Cu Tc
1 2 1
direct
0.500 0.000 0.000 Ag
0.747 0.495 0.733 Cu
0.253 0.505 0.267 Cu
0.000 0.000 0.500 Tc
```

Calculated values
SG: No. 12
Spin magnetization in μB per cell: 0.00
N(E_F) in states/eV/f.u.: 3.806
Mass density in g/cm³: 10.23

---

<2>
A plane-wave DFT calculation with PBEsol was carried out for a relaxed Cu2TcAg crystal.

POSCAR file:
```
Cu2TcAg
1.0
2.569 0.000 0.042
0.000 3.711 0.000
-0.094 0.000 5.625
Tc Cu Ag
1 2 1
direct
0.500 0.500 0.000 Tc
0.000 0.000 0.768 Cu
0.000 0.000 0.232 Cu
0.500 0.500 0.500 Ag
```

Calculated values
SG: No. 47
Spin magnetization in μB per cell: 0.00
N(E_F) in states/eV/f.u.: 2.978
Mass density in g/cm³: 10.31

---

Energy comparison, zero being the most stable, in meV per atom: <1> 62; <2> 0.

---

<1>
A plane-wave DFT calculation with PBEsol was carried out for a relaxed CuAgTe crystal.

POSCAR file:
```
CuAgTe
1.0
-0.471 0.690 -4.292
1.447 -2.971 -2.864
-2.850 -2.390 -2.299
Ag Cu Te
1 1 1
direct
0.500 0.500 0.500 Ag
0.250 0.250 0.250 Cu
0.000 0.000 0.000 Te
```

Calculated values
SG: No. 216
Spin magnetization in μB per cell: 0.00
N(E_F) in states/eV/f.u.: 0.710
Mass density in g/cm³: 8.40

---

<2>
A plane-wave DFT calculation with PBEsol was carried out for a relaxed CuAgTe crystal.

POSCAR file:
```
CuAgTe
1.0
-2.783 0.543 1.239
0.210 -2.621 1.632
3.841 4.007 3.003
Cu Ag Te
1 1 1
direct
0.657 0.657 0.314 Cu
0.027 0.027 0.054 Ag
0.316 0.316 0.631 Te
```

Calculated values
SG: No. 107
Spin magnetization in μB per cell: 0.00
N(E_F) in states/eV/f.u.: 1.014
Mass density in g/cm³: 8.76

---

Energy comparison, zero being the most stable, in meV per atom: <1> 0; <2> 304.

---

<1>
A plane-wave DFT calculation with PBEsol was carried out for a relaxed CuAg2W crystal.

POSCAR file:
```
CuAg2W
1.0
2.697 0.000 0.000
0.000 2.697 0.000
0.000 0.000 8.197
Ag W Cu
2 1 1
direct
0.000 0.000 0.767 Ag
0.000 0.000 0.233 Ag
0.500 0.500 0.500 W
0.500 0.500 0.000 Cu
```

Calculated values
SG: No. 123
Spin magnetization in μB per cell: 0.00
N(E_F) in states/eV/f.u.: 2.545
Mass density in g/cm³: 12.90

---

<2>
A plane-wave DFT calculation with PBEsol was carried out for a relaxed CuAg2W crystal.

POSCAR file:
```
CuAg2W
1.0
-1.642 1.922 2.697
-1.310 -3.142 1.442
3.660 -0.379 2.499
Ag W Cu
2 1 1
direct
0.000 0.500 0.000 Ag
0.500 0.000 0.000 Ag
0.000 0.000 0.500 W
0.500 0.500 0.500 Cu
```

Calculated values
SG: No. 123
Spin magnetization in μB per cell: 0.00
N(E_F) in states/eV/f.u.: 4.678
Mass density in g/cm³: 12.65

---

Energy comparison, zero being the most stable, in meV per atom: <1> 0; <2> 441.

---

<1>
A plane-wave DFT calculation with PBEsol was carried out for a relaxed Zr2CuAg crystal.

POSCAR file:
```
Zr2CuAg
1.0
-1.745 -2.063 1.247
0.315 -1.721 -2.407
6.443 -3.450 3.309
Cu Ag Zr
1 1 2
direct
0.500 0.500 0.500 Cu
0.500 0.500 0.000 Ag
0.000 0.000 0.270 Zr
0.000 0.000 0.730 Zr
```

Calculated values
SG: No. 123
Spin magnetization in μB per cell: 0.00
N(E_F) in states/eV/f.u.: 4.163
Mass density in g/cm³: 8.27

---

<2>
A plane-wave DFT calculation with PBEsol was carried out for a relaxed Zr2CuAg crystal.

POSCAR file:
```
Zr2CuAg
1.0
3.345 0.000 0.000
0.000 3.345 0.000
0.000 0.000 6.480
Cu Ag Zr
1 1 2
direct
0.500 0.500 0.738 Cu
0.000 0.000 0.526 Ag
0.500 0.500 0.269 Zr
0.000 0.000 0.967 Zr
```

Calculated values
SG: No. 99
Spin magnetization in μB per cell: 0.00
N(E_F) in states/eV/f.u.: 2.290
Mass density in g/cm³: 8.11

---

Energy comparison, zero being the most stable, in meV per atom: <1> 45; <2> 0.

---

<1>
A plane-wave DFT calculation with PBEsol was carried out for a relaxed ZrCuAg2 crystal.

POSCAR file:
```
ZrCuAg2
1.0
3.098 0.000 0.000
0.000 3.098 0.000
0.000 0.000 6.954
Zr Cu Ag
1 1 2
direct
0.500 0.500 0.725 Zr
0.000 0.000 0.483 Cu
0.500 0.500 0.272 Ag
0.000 0.000 0.019 Ag
```

Calculated values
SG: No. 99
Spin magnetization in μB per cell: 0.00
N(E_F) in states/eV/f.u.: 2.561
Mass density in g/cm³: 9.22

---

<2>
A plane-wave DFT calculation with PBEsol was carried out for a relaxed ZrCuAg2 crystal.

POSCAR file:
```
ZrCuAg2
1.0
-2.111 -1.862 -0.654
-0.340 -2.406 1.564
-6.536 3.070 5.972
Ag Cu Zr
2 1 1
direct
0.758 0.758 0.726 Ag
0.242 0.242 0.274 Ag
0.500 0.500 0.500 Cu
0.000 0.000 0.000 Zr
```

Calculated values
SG: No. 166
Spin magnetization in μB per cell: 0.00
N(E_F) in states/eV/f.u.: 1.325
Mass density in g/cm³: 9.23

---

Energy comparison, zero being the most stable, in meV per atom: <1> 0; <2> 118.

---

<1>
A plane-wave DFT calculation with PBEsol was carried out for a relaxed LiAgF3 crystal.

POSCAR file:
```
LiAgF3
1.0
5.252 0.038 -0.011
2.517 4.691 -0.027
0.408 2.557 4.955
Ag F Li
2 6 2
direct
0.836 0.305 0.540 Ag
0.164 0.695 0.460 Ag
0.302 0.753 0.764 F
0.698 0.247 0.236 F
0.598 0.128 0.797 F
0.051 0.507 0.240 F
0.949 0.493 0.760 F
0.402 0.872 0.203 F
0.631 0.708 0.946 Li
0.369 0.292 0.054 Li
```

Calculated values
SG: No. 2
Spin magnetization in μB per cell: 2.04
N(E_F) in states/eV/f.u.: 0.608
Mass density in g/cm³: 4.68

---

<2>
A plane-wave DFT calculation with PBEsol was carried out for a relaxed LiAgF3 crystal.

POSCAR file:
```
LiAgF3
1.0
5.333 0.000 0.000
2.666 4.618 0.000
2.666 1.539 4.975
F Ag Li
6 2 2
direct
0.432 0.728 0.743 F
0.596 0.228 0.243 F
0.932 0.596 0.243 F
0.096 0.432 0.743 F
0.728 0.096 0.743 F
0.228 0.932 0.243 F
0.511 0.511 0.466 Ag
0.011 0.011 0.966 Ag
0.302 0.302 0.095 Li
0.802 0.802 0.595 Li
```

Calculated values
SG: No. 161
Spin magnetization in μB per cell: 0.00
N(E_F) in states/eV/f.u.: 2.562
Mass density in g/cm³: 4.66

---

<3>
A plane-wave DFT calculation with PBEsol was carried out for a relaxed LiAgF3 crystal.

POSCAR file:
```
LiAgF3
1.0
5.403 0.000 -0.057
0.000 5.562 0.000
-0.451 0.000 8.079
Li F Ag
4 12 4
direct
0.020 0.028 0.784 Li
0.980 0.972 0.216 Li
0.480 0.528 0.716 Li
0.520 0.472 0.284 Li
0.660 0.334 0.526 F
0.314 0.818 0.800 F
0.792 0.852 0.639 F
0.208 0.148 0.361 F
0.160 0.166 0.026 F
0.840 0.834 0.974 F
0.186 0.318 0.700 F
0.708 0.352 0.861 F
0.292 0.648 0.139 F
0.340 0.666 0.474 F
0.814 0.682 0.300 F
0.686 0.182 0.200 F
0.000 0.500 0.500 Ag
0.500 0.000 0.500 Ag
0.000 0.500 0.000 Ag
0.500 0.000 0.000 Ag
```

Calculated values
SG: No. 14
Spin magnetization in μB per cell: 0.01
N(E_F) in states/eV/f.u.: 0.212
Mass density in g/cm³: 4.70

---

<4>
A plane-wave DFT calculation with PBEsol was carried out for a relaxed LiAgF3 crystal.

POSCAR file:
```
LiAgF3
1.0
-0.070 -1.506 -2.702
1.383 -5.468 3.012
-6.377 0.454 -0.089
Li F Ag
2 6 2
direct
0.000 0.000 0.500 Li
0.000 0.500 0.000 Li
0.000 0.353 0.647 F
0.000 0.647 0.353 F
0.500 0.326 0.053 F
0.500 0.053 0.326 F
0.500 0.947 0.674 F
0.500 0.674 0.947 F
0.500 0.000 0.000 Ag
0.500 0.500 0.500 Ag
```

Calculated values
SG: No. 65
Spin magnetization in μB per cell: 1.59
N(E_F) in states/eV/f.u.: 1.881
Mass density in g/cm³: 4.70

---

Energy comparison, zero being the most stable, in meV per atom: <1> 33; <2> 15; <3> 0; <4> 10.

---

<1>
A plane-wave DFT calculation with PBEsol was carried out for a relaxed LiAg2F6 crystal.

POSCAR file:
```
LiAg2F6
1.0
4.724 0.000 0.000
0.000 9.053 0.000
0.000 -4.527 7.840
Ag F Li
6 18 3
direct
0.500 0.697 0.697 Ag
0.500 0.000 0.303 Ag
0.500 0.303 0.000 Ag
0.000 0.000 0.637 Ag
0.000 0.363 0.363 Ag
0.000 0.637 0.000 Ag
0.268 0.112 0.520 F
0.741 0.199 0.746 F
0.741 0.546 0.801 F
0.259 0.801 0.546 F
0.762 0.882 0.099 F
0.762 0.901 0.783 F
0.741 0.254 0.454 F
0.238 0.783 0.901 F
0.268 0.480 0.592 F
0.259 0.746 0.199 F
0.268 0.408 0.888 F
0.238 0.118 0.217 F
0.259 0.454 0.254 F
0.762 0.217 0.118 F
0.732 0.520 0.112 F
0.732 0.592 0.480 F
0.238 0.099 0.882 F
0.732 0.888 0.408 F
0.512 0.333 0.667 Li
0.000 0.000 0.000 Li
0.488 0.667 0.333 Li
```

Calculated values
SG: No. 150
Spin magnetization in μB per cell: 0.00
N(E_F) in states/eV/f.u.: 3.680
Mass density in g/cm³: 5.00

---

<2>
A plane-wave DFT calculation with PBEsol was carried out for a relaxed LiAg2F6 crystal.

POSCAR file:
```
LiAg2F6
1.0
4.803 0.000 0.000
0.000 4.803 0.000
0.000 0.000 10.051
F Ag Li
12 4 2
direct
0.802 0.302 0.421 F
0.203 0.703 0.750 F
0.703 0.797 0.250 F
0.802 0.302 0.079 F
0.698 0.802 0.579 F
0.198 0.698 0.079 F
0.302 0.198 0.921 F
0.797 0.297 0.750 F
0.297 0.203 0.250 F
0.198 0.698 0.421 F
0.698 0.802 0.921 F
0.302 0.198 0.579 F
0.500 0.000 0.415 Ag
0.000 0.500 0.915 Ag
0.500 0.000 0.085 Ag
0.000 0.500 0.585 Ag
0.000 0.500 0.250 Li
0.500 0.000 0.750 Li
```

Calculated values
SG: No. 136
Spin magnetization in μB per cell: 0.01
N(E_F) in states/eV/f.u.: 4.874
Mass density in g/cm³: 4.82

---

Energy comparison, zero being the most stable, in meV per atom: <1> 0; <2> 22.

---

<1>
A plane-wave DFT calculation with PBEsol was carried out for a relaxed AgRuN2F crystal.

POSCAR file:
```
AgRuN2F
1.0
3.974 0.000 0.000
0.000 3.974 0.000
0.000 0.000 3.976
F N Ru Ag
1 2 1 1
direct
0.000 0.000 0.500 F
0.500 0.000 0.000 N
0.000 0.500 0.000 N
0.500 0.500 0.500 Ru
0.000 0.000 0.000 Ag
```

Calculated values
SG: No. 123
Spin magnetization in μB per cell: 3.20
N(E_F) in states/eV/f.u.: 4.209
Mass density in g/cm³: 6.77

---

<2>
A plane-wave DFT calculation with PBEsol was carried out for a relaxed AgRuN2F crystal.

POSCAR file:
```
AgRuN2F
1.0
3.760 0.000 0.000
0.000 3.760 0.000
0.000 0.000 4.245
N Ru Ag F
2 1 1 1
direct
0.500 0.000 0.000 N
0.000 0.500 0.000 N
0.000 0.000 0.000 Ru
0.500 0.500 0.500 Ag
0.000 0.000 0.500 F
```

Calculated values
SG: No. 123
Spin magnetization in μB per cell: 0.00
N(E_F) in states/eV/f.u.: 2.073
Mass density in g/cm³: 7.08

---

Energy comparison, zero being the most stable, in meV per atom: <1> 1465; <2> 0.

---

<1>
A plane-wave DFT calculation with PBEsol was carried out for a relaxed RbAgOF2 crystal.

POSCAR file:
```
RbAgOF2
1.0
-2.016 3.111 2.395
-3.048 -3.313 1.737
3.023 -0.861 3.662
F Ag Rb O
2 1 1 1
direct
0.000 0.500 0.000 F
0.000 0.000 0.500 F
0.500 0.500 0.500 Ag
0.000 0.000 0.000 Rb
0.500 0.000 0.000 O
```

Calculated values
SG: No. 123
Spin magnetization in μB per cell: 1.18
N(E_F) in states/eV/f.u.: 7.102
Mass density in g/cm³: 4.00

---

<2>
A plane-wave DFT calculation with PBEsol was carried out for a relaxed RbAgOF2 crystal.

POSCAR file:
```
RbAgOF2
1.0
3.912 0.000 0.000
0.000 4.462 0.000
0.000 0.000 4.462
Rb F O Ag
1 2 1 1
direct
0.500 0.500 0.500 Rb
0.000 0.500 0.000 F
0.000 0.000 0.500 F
0.500 0.000 0.000 O
0.000 0.000 0.000 Ag
```

Calculated values
SG: No. 123
Spin magnetization in μB per cell: 0.80
N(E_F) in states/eV/f.u.: 2.272
Mass density in g/cm³: 5.27

---

Energy comparison, zero being the most stable, in meV per atom: <1> 1160; <2> 0.

---

<1>
A plane-wave DFT calculation with PBEsol was carried out for a relaxed RbAgF2 crystal.

POSCAR file:
```
RbAgF2
1.0
5.361 0.000 0.000
0.000 5.361 0.000
-2.680 -2.680 6.262
Ag Rb F
2 2 4
direct
0.250 0.750 0.500 Ag
0.000 0.000 0.000 Ag
0.500 0.500 0.000 Rb
0.750 0.250 0.500 Rb
0.125 0.062 0.750 F
0.312 0.875 0.250 F
0.938 0.375 0.250 F
0.625 0.688 0.750 F
```

Calculated values
SG: No. 122
Spin magnetization in μB per cell: 0.00
Mass density in g/cm³: 4.27

---

<2>
A plane-wave DFT calculation with PBEsol was carried out for a relaxed RbAgF2 crystal.

POSCAR file:
```
RbAgF2
1.0
-2.444 2.928 1.370
-1.258 -0.049 3.852
4.265 4.687 3.584
F Rb Ag
2 1 1
direct
0.903 0.903 0.292 F
0.097 0.097 0.708 F
0.500 0.500 0.500 Rb
0.000 0.000 0.000 Ag
```

Calculated values
SG: No. 166
Spin magnetization in μB per cell: 0.00
N(E_F) in states/eV/f.u.: 0.000
Mass density in g/cm³: 3.92

---

Energy comparison, zero being the most stable, in meV per atom: <1> 74; <2> 0.